RbMoO3F, relaxed, DFT PBE+U; final energy = -5.92 eV per atom; D(E_F) = 0.388 states/eV per atom
1.0
2.6546 -9.5905 0.0000
2.6546 9.5905 0.0000
-0.0457 0.0000 5.4568
Rb Mo O F
2 2 6 2
Direct
0.2384 0.7616 0.7500 Rb
0.7616 0.2384 0.2500 Rb
0.4688 0.5312 0.2500 Mo
0.5312 0.4688 0.7500 Mo
0.2661 0.2661 0.4981 O
0.2661 0.2661 0.9981 O
0.3798 0.6202 0.2500 O
0.6202 0.3798 0.7500 O
0.7339 0.7339 0.0019 O
0.7339 0.7339 0.5019 O
0.2154 0.7846 0.2500 F
0.7846 0.2154 0.7500 F